NiIO2F GGA+U optimized geometry; total DFT energy (no corrections) = -3.16 eV/atom; density = 4.58 g cm⁻³; DOS(E_F) = 1.31 states/eV/cell
1.0
4.0149 0.0000 0.0000
0.0000 4.0149 0.0000
0.0000 0.0000 5.3214
Ni I O F
1 1 2 1
Cartesian
0.0000 0.0000 0.0000 Ni
2.0075 2.0075 2.6607 I
0.0000 2.0075 2.6607 O
2.0075 0.0000 2.6607 O
2.0075 2.0075 0.0000 F